Compound: RbPrPbO3
Source: the Alexandria database
Functional: PBE-GGA
Structure: optimized geometry

Calculated values
Total magnetization (μB/f.u.): 0.00
Space-group type: P2_1/m
Formation energy from raw total energies (eV per atom): -2.05
Crystal system: monoclinic
Raw total energy (eV per atom): -6.11

abc: 7.317 3.692 9.351
angles: 90.00 90.24 90.00
Positions (direct):
Rb (0.106, 0.250, 0.309)
Rb (0.894, 0.750, 0.691)
Pr (0.413, 0.250, 0.654)
Pr (0.587, 0.750, 0.346)
Pb (0.268, 0.750, 0.958)
Pb (0.732, 0.250, 0.042)
O (0.160, 0.250, 0.823)
O (0.322, 0.750, 0.501)
O (0.491, 0.250, 0.190)
O (0.509, 0.750, 0.810)
O (0.678, 0.250, 0.499)
O (0.840, 0.750, 0.177)